(1)
## TiIn (PBE)

Data for TiIn after structural relaxation.

abc: 8.640 8.640 5.040
angles: 90.00 90.00 90.00
Last column: magnetic moment on the atom in μB.
Element x y z (fractional)
Ti (0.371, 0.947, 0.000)  0.69
Ti (0.629, 0.053, 0.000)  0.69
Ti (0.053, 0.371, 0.000)  0.69
Ti (0.947, 0.629, 0.000)  0.69
Ti (0.871, 0.447, 0.500)  0.69
Ti (0.129, 0.553, 0.500)  0.69
Ti (0.553, 0.871, 0.500)  0.69
Ti (0.447, 0.129, 0.500)  0.69
In (0.375, 0.292, 0.000)  0.00
In (0.625, 0.708, 0.000)  0.00
In (0.708, 0.375, 0.000)  0.00
In (0.292, 0.625, 0.000)  0.00
In (0.875, 0.792, 0.500)  0.00
In (0.125, 0.208, 0.500)  0.00
In (0.208, 0.875, 0.500)  0.00
In (0.792, 0.125, 0.500)  0.00

For the mass density, the calculation gives 5.7 Mg/m³. Its space-group type is I4/m (87). For the formation energy, the calculation gives 32 kJ/mol of formula units.


(2)
## LiGePt5 (PBE)

Data for LiGePt5 after structural relaxation.

abc: 7.224 7.224 11.104
angles: 39.80 39.80 44.67
Element x y z (fractional)
Li (0.000, 0.000, 0.000)
Li (0.000, 0.000, 0.500)
Ge (0.741, 0.259, 0.250)
Ge (0.259, 0.741, 0.750)
Pt (0.697, 0.702, 0.182)
Pt (0.299, 0.304, 0.580)
Pt (0.702, 0.697, 0.682)
Pt (0.166, 0.834, 0.250)
Pt (0.696, 0.701, 0.920)
Pt (0.304, 0.299, 0.080)
Pt (0.834, 0.166, 0.750)
Pt (0.298, 0.303, 0.318)
Pt (0.701, 0.696, 0.420)
Pt (0.303, 0.298, 0.818)

For the mass density, the calculation gives 15.4 Mg/m³. Its space-group type is Imma (74). For the formation energy, the calculation gives -176 kJ/mol of formula units.


(3)
## Y5AlAg4 (PBE)

Data for Y5AlAg4 after structural relaxation.

abc: 3.616 3.616 18.432
angles: 90.00 90.00 90.00
Element x y z (fractional)
Y (0.500, 0.500, 0.099)
Y (0.500, 0.500, 0.299)
Y (0.500, 0.500, 0.500)
Y (0.500, 0.500, 0.701)
Y (0.500, 0.500, 0.901)
Al (0.000, 0.000, 0.000)
Ag (0.000, 0.000, 0.198)
Ag (0.000, 0.000, 0.401)
Ag (0.000, 0.000, 0.599)
Ag (0.000, 0.000, 0.802)

For the mass density, the calculation gives 6.2 Mg/m³. Its space-group type is P4/mmm (123). For the formation energy, the calculation gives -338 kJ/mol of formula units.


(4)
## RbCdPb2 (PBE)

Data for RbCdPb2 after structural relaxation.

abc: 5.254 6.953 9.683
angles: 84.14 74.26 67.91
Element x y z (fractional)
Rb (0.929, 0.250, 0.141)
Rb (0.071, 0.750, 0.859)
Cd (0.268, 0.250, 0.464)
Cd (0.732, 0.750, 0.536)
Pb (0.195, 0.617, 0.251)
Pb (0.555, 0.883, 0.251)
Pb (0.805, 0.383, 0.749)
Pb (0.445, 0.117, 0.749)

For the mass density, the calculation gives 6.4 Mg/m³. Its space-group type is C2/c (15). For the formation energy, the calculation gives 1 kJ/mol of formula units.


(5)
## SrCdIn (PBE)

Data for SrCdIn after structural relaxation.

abc: 4.256 4.256 6.520
angles: 90.00 90.00 120.00
Element x y z (fractional)
Cd (0.000, 0.000, 0.034)
In (0.667, 0.333, 0.292)
Sr (0.333, 0.667, 0.674)

For the mass density, the calculation gives 5.1 Mg/m³. Its space-group type is P3m1 (156). For the formation energy, the calculation gives -43 kJ/mol of formula units.


(6)
## VRe2Tc (PBE)

Data for VRe2Tc after structural relaxation.

abc: 3.026 3.026 6.312
angles: 90.00 90.00 90.00
Element x y z (fractional)
Re (0.000, 0.000, 0.765)
Re (0.000, 0.000, 0.235)
Tc (0.500, 0.500, 0.500)
V (0.500, 0.500, 0.000)

The calculation puts the energy above the most stable polymorph in this dataset at 0.00 eV/f.u. For the mass density, the calculation gives 15.0 Mg/m³. Its space-group type is P4/mmm (123). For the formation energy, the calculation gives -30 kJ/mol of formula units.


(7)
## LiP2IrO (PBE)

Data for LiP2IrO after structural relaxation.

abc: 4.555 4.555 3.088
angles: 90.00 90.00 90.00
Element x y z (fractional)
P (0.000, 0.500, 0.000)
P (0.500, 0.000, 0.000)
Ir (0.500, 0.500, 0.500)
O (0.000, 0.000, 0.500)
Li (0.000, 0.000, 0.000)

The calculation puts the formation energy from raw total energies at 269 kJ/mol of formula units. The calculation puts the energy above the most stable polymorph in this dataset at 2.17 eV/f.u. For the mass density, the calculation gives 7.2 Mg/m³. Its space-group type is P4/mmm (123).


(8)
## CsZn2GaPt (PBE)

Data for CsZn2GaPt after structural relaxation.

abc: 5.092 5.092 4.893
angles: 90.00 90.00 90.00
Element x y z (fractional)
Cs (0.500, 0.500, 0.500)
Zn (0.000, 0.500, 0.000)
Zn (0.500, 0.000, 0.000)
Ga (0.000, 0.000, 0.500)
Pt (0.000, 0.000, 0.000)

For the mass density, the calculation gives 6.9 Mg/m³. Its space-group type is P4/mmm (123). For the formation energy, the calculation gives -137 kJ/mol of formula units.


(9)
## CaMo2Br (PBE)

Data for CaMo2Br after structural relaxation.

abc: 5.719 5.719 3.027
angles: 90.00 90.00 125.49
Element x y z (fractional)
Mo (0.000, 0.000, 0.000)
Mo (0.500, 0.500, 0.000)
Ca (0.000, 0.500, 0.500)
Br (0.500, 0.000, 0.500)

The calculation puts the formation energy from raw total energies at 341 kJ/mol of formula units. The calculation puts the energy above the most stable polymorph in this dataset at 3.49 eV/f.u. For the mass density, the calculation gives 6.4 Mg/m³. Its space-group type is Cmmm (65).


(10)
## MgGaRh (PBE)

Data for MgGaRh after structural relaxation.

abc: 3.185 3.185 5.160
angles: 107.98 107.98 90.00
Element x y z (fractional)
Mg (0.611, 0.611, 0.221)
Rh (0.938, 0.938, 0.877)
Ga (0.301, 0.301, 0.602)

For the mass density, the calculation gives 6.9 Mg/m³. Its space-group type is I4mm (107). For the formation energy, the calculation gives -152 kJ/mol of formula units.


(11)
## KMo2Pt (PBE)

Data for KMo2Pt after structural relaxation.

abc: 5.398 5.793 2.688
angles: 82.29 77.88 114.66
Element x y z (fractional)
K (0.500, 0.500, 0.000)
Mo (0.000, 0.000, 0.000)
Mo (0.500, 0.000, 0.500)
Pt (0.000, 0.500, 0.500)

The calculation puts the energy above the most stable polymorph in this dataset at 2.34 eV/f.u. For the mass density, the calculation gives 9.8 Mg/m³. Its space-group type is C2/m (12). For the formation energy, the calculation gives 382 kJ/mol of formula units.


(12)
## Sn3TeIr (PBE)

Data for Sn3TeIr after structural relaxation.

abc: 5.226 5.225 5.196
angles: 89.96 89.98 87.10
Element x y z (fractional)
Sn (0.920, 0.496, 0.988)
Sn (0.977, 0.973, 0.489)
Sn (0.496, 0.923, 0.989)
Te (0.547, 0.548, 0.489)
Ir (0.002, 0.002, 0.989)

The calculation puts the formation energy from raw total energies at -67 kJ/mol of formula units. The calculation puts the energy above the most stable polymorph in this dataset at 0.00 eV/f.u. For the mass density, the calculation gives 7.9 Mg/m³. Its space-group type is Pm (6).


Question: Which of these has the highest mass density?
Answer: LiGePt5


Question: The highest mass density belongs to which entry?
Answer: LiGePt5


Question: Look up the mass density of the eleventh one.
Answer: 9.8 Mg/m³